Below is a relaxed KZr2Cu2Se6 crystal, with properties calculated at the GGA-PBE level.

Computed properties:
ρ = 4.5 g/cm³
Magnetic moment = 0.00 μB/atom
Space-group type = P-1, No. 2
Uncorrected formation energy = -0.872 eV/atom

a b c (Å): 7.245 7.703 7.725
angles (deg): 121.91 86.65 63.85
Element x y z (fractional)
1 K 0.500 0.000 0.500
2 Zr 0.818 0.332 0.852
3 Zr 0.182 0.668 0.148
4 Cu 0.238 0.713 0.784
5 Cu 0.762 0.287 0.216
6 Se 0.440 0.767 0.012
7 Se 0.966 0.439 0.171
8 Se 0.160 0.844 0.572
9 Se 0.034 0.561 0.829
10 Se 0.840 0.156 0.428
11 Se 0.560 0.233 0.988